Entry from Alexandria: a relaxed structure of TlInSnHg2 (PBE).

Unit cell a=4.4096 b=4.4096 c=8.8935 alpha=90.00 beta=90.00 gamma=120.00
With the nearest neighbours (Å) after each atom.
Atoms (fractional coordinates):
Tl (0.0000, 0.0000, 0.0000)  6 Hg 3.15-3.20
In (0.6667, 0.3333, 0.4047)  3 Hg 3.04, 3 Sn 3.12
Sn (0.3333, 0.6667, 0.6077)  3 Hg 3.02, 3 In 3.12
Hg (0.3333, 0.6667, 0.2173)  3 In 3.04, 3 Tl 3.20
Hg (0.6667, 0.3333, 0.7909)  3 Sn 3.02, 3 Tl 3.15

The value obtained for the magnetic moment is 0.00 μB per formula unit. For the formation energy from the elements, the calculation gives 0.06 eV/atom. The value obtained for the density is 9.3 g/cm3. The calculation puts the density of states at the Fermi level at 2.00 states/eV/f.u. The calculation puts the calculated total energy at -1.877 eV per atom.